No. 1
Entry from the Alexandria database: an optimized crystal structure of AlAgOs4 (PBEsol).

a b c (Å): 7.2389 7.2389 7.2389
angles (deg): 90.00 90.00 90.00
With the nearest neighbours (Å) after each atom.
Space group F-43m (No. 216)
Symmetry-distinct sites (fractional):
Al (0.0000, 0.0000, 0.0000) [4 per cell]  12 Os 3.00, 4 Ag 3.13
Ag (0.2500, 0.2500, 0.7500) [4 per cell]  12 Os 3.00, 4 Al 3.13
Os (0.1251, 0.1251, 0.3749) [16 per cell]  6 Os 2.56

Properties
Total DFT energy (no corrections) ... -207.40 eV/cell
Density ... 15.7 g/cm³
Energy of formation from the pure elements ... 0.736 eV/atom


No. 2
Entry from the Alexandria database: an optimized crystal structure of Cs2InGaCl6 (PBEsol).

a b c (Å): 10.6272 10.6272 10.6272
angles (deg): 90.00 90.00 90.00
With the nearest neighbours (Å) after each atom.
Space group Fm-3m (No. 225)
Symmetry-distinct sites (fractional):
Cs (0.2500, 0.2500, 0.2500) [8 per cell]  12 Cl 3.76
In (0.0000, 0.0000, 0.0000) [4 per cell]  6 Cl 2.53
Ga (0.0000, 0.0000, 0.5000) [4 per cell]  6 Cl 2.78
Cl (0.0000, 0.0000, 0.2382) [24 per cell]  1 In 2.53, 1 Ga 2.78

Properties
Total DFT energy (no corrections) ... -138.43 eV/cell
Energy relative to the elements, uncorrected ... -1.4352 eV per atom
Density ... 3.7 g/cm³


No. 3
Entry from the Alexandria database: an optimized crystal structure of CoAg2Br (PBEsol).

a b c (Å): 3.8390 3.8390 9.2875
angles (deg): 90.00 90.00 90.00
With the nearest neighbours (Å) after each atom.
Space group I4/mmm (No. 139)
Symmetry-distinct sites (fractional):
Co (0.0000, 0.0000, 0.0000) [2 per cell]  4 Br 2.71, 8 Ag 3.01
Ag (0.0000, 0.5000, 0.2500) [4 per cell]  4 Ag 2.71, 4 Co 3.01, 4 Br 3.01
Br (0.0000, 0.0000, 0.5000) [2 per cell]  4 Co 2.71, 8 Ag 3.01

Properties
Total DFT energy (no corrections) ... -27.47 eV/cell
Energy relative to the elements, uncorrected ... 0.6232 eV per atom
Density ... 8.6 g/cm³
Energy above the most stable polymorph in this dataset ... 245.9 meV/atom


No. 4
Entry from the Alexandria database: an optimized crystal structure of Tl2TePW (PBEsol).

a b c (Å): 5.9068 5.9068 4.8817
angles (deg): 90.00 90.00 90.00
With the nearest neighbours (Å) after each atom.
Space group P4/mmm (No. 123)
Symmetry-distinct sites (fractional):
Tl (0.0000, 0.5000, 0.0000) [2 per cell]  2 Te 2.95
Te (0.0000, 0.0000, 0.0000) [1 per cell]  2 P 2.44
P (0.0000, 0.0000, 0.5000) [1 per cell]  2 Te 2.44
W (0.5000, 0.5000, 0.5000) [1 per cell]  8 Tl 3.83, 4 P 4.18

Properties
Total DFT energy (no corrections) ... -18.62 eV/cell
Energy relative to the elements, uncorrected ... 1.9524 eV per atom
Density ... 7.3 g/cm³


No. 5
Entry from the Alexandria database: an optimized crystal structure of LiMn2O3F (PBEsol).

a b c (Å): 5.7116 6.0257 8.5881
angles (deg): 90.00 90.00 90.00
With the nearest neighbours (Å) after each atom.
Space group Pnma (No. 62)
Symmetry-distinct sites (fractional):
Li (0.0314, 0.2500, 0.1499) [4 per cell]  1 F 1.87, 3 O 1.95-2.05
Mn (0.0000, 0.0000, 0.5000) [4 per cell]  4 O 1.89-1.94
Mn (0.2493, 0.2500, 0.7589) [4 per cell]  4 O 1.93-1.94
O (0.0023, 0.0367, 0.7241) [8 per cell]  3 Mn 1.93-1.94, 1 Li 2.05
O (0.1994, 0.7500, 0.5107) [4 per cell]  2 Mn 1.89, 1 Li 1.95
F (0.2152, 0.7500, 0.9938) [4 per cell]  1 Li 1.87

Properties
Total DFT energy (no corrections) ... -210.28 eV/cell
Energy relative to the elements, uncorrected ... -1.9151 eV per atom
Density ... 4.1 g/cm³
Energy above the most stable polymorph in this dataset ... 4.3 meV/atom


No. 6
Entry from the Alexandria database: an optimized crystal structure of ReAgHg2 (PBEsol).

a b c (Å): 2.8068 2.8068 9.1050
angles (deg): 90.00 90.00 90.00
With the nearest neighbours (Å) after each atom.
Space group P4mm (No. 99)
Symmetry-distinct sites (fractional):
Re (0.0000, 0.0000, 0.0000) [1 per cell]  4 Re 2.81, 4 Ag 2.84, 4 Hg 2.95
Ag (0.5000, 0.5000, 0.2236) [1 per cell]  4 Ag 2.81, 4 Re 2.84, 4 Hg 3.04
Hg (0.0000, 0.0000, 0.4760) [1 per cell]  4 Hg 2.81, 4 Ag 3.04
Hg (0.5000, 0.5000, 0.7601) [1 per cell]  4 Hg 2.81, 4 Re 2.95

Properties
Total DFT energy (no corrections) ... -15.46 eV/cell
Density ... 16.1 g/cm³
Energy above the most stable polymorph in this dataset ... 101.2 meV/atom
Energy of formation from the pure elements ... 0.580 eV/atom


No. 7
Entry from the Alexandria database: an optimized crystal structure of TcNi2 (PBEsol).

a b c (Å): 5.1224 3.5256 7.6631
angles (deg): 90.00 90.00 90.00
With the nearest neighbours (Å) after each atom.
Space group Pnma (No. 62)
Symmetry-distinct sites (fractional):
Tc (0.1210, 0.2500, 0.0769) [4 per cell]  2 Tc 2.46, 10 Ni 2.52-2.58
Ni (0.1170, 0.2500, 0.4139) [4 per cell]  7 Ni 2.50-2.56, 5 Tc 2.54-2.58
Ni (0.1308, 0.2500, 0.7484) [4 per cell]  7 Ni 2.50-2.56, 5 Tc 2.52-2.56

Properties
Total DFT energy (no corrections) ... -94.49 eV/cell
Density ... 10.3 g/cm³
Energy above the most stable polymorph in this dataset ... 39.4 meV/atom
Energy of formation from the pure elements ... -0.014 eV/atom


No. 8
Entry from the Alexandria database: an optimized crystal structure of Ga2AgIrRu (PBEsol).

a b c (Å): 4.4878 4.4878 4.8717
angles (deg): 90.00 90.00 90.00
With the nearest neighbours (Å) after each atom.
Space group P4/mmm (No. 123)
Symmetry-distinct sites (fractional):
Ga (0.0000, 0.5000, 0.0000) [2 per cell]  2 Ru 2.24
Ag (0.0000, 0.0000, 0.5000) [1 per cell]  2 Ru 2.44
Ir (0.5000, 0.5000, 0.5000) [1 per cell]  4 Ag 3.17, 8 Ga 3.31
Ru (0.0000, 0.0000, 0.0000) [1 per cell]  4 Ga 2.24, 2 Ag 2.44

Properties
Total DFT energy (no corrections) ... -23.66 eV/cell
Density ... 9.1 g/cm³
Energy of formation from the pure elements ... 1.266 eV/atom


density of number 5 (LiMn2O3F)?
4.1 g/cm³